(1)
LaNdMg2Au4: optimized geometry, PBE.

Cell: 5.0363 5.0363 7.1344 Å, 90.00 90.00 90.00°
Positions (direct):
La1 0.0000 0.0000 0.0000
Nd1 0.5000 0.5000 0.5000
Mg1 0.0000 0.0000 0.5000
Mg2 0.5000 0.5000 0.0000
Au1 0.0000 0.5000 0.2534
Au2 0.0000 0.5000 0.7466
Au3 0.5000 0.0000 0.2534
Au4 0.5000 0.0000 0.7466

---

(2)
LaNd2Mg3Ni2Au: optimized geometry, PBE.

Cell: 4.0626 7.5835 7.5835 Å, 119.20 90.00 90.00°
Positions (direct):
La1 0.0000 0.0000 0.0000
Nd1 0.0000 0.1550 0.5756
Nd2 0.0000 0.5756 0.1550
Mg1 0.5000 0.3328 0.3328
Mg2 0.5000 0.5725 0.8212
Mg3 0.5000 0.8212 0.5725
Ni1 0.5000 0.2398 0.9087
Ni2 0.5000 0.9087 0.2398
Au1 0.0000 0.5744 0.5744

---

(3)
LaNd2Mg3Pd2Au: optimized geometry, PBE.

Cell: 4.1793 7.6712 7.6712 Å, 119.56 90.00 90.00°
Positions (direct):
La1 0.0000 0.0000 0.0000
Nd1 0.0000 0.1671 0.5817
Nd2 0.0000 0.5817 0.1671
Mg1 0.5000 0.3415 0.3415
Mg2 0.5000 0.5790 0.8251
Mg3 0.5000 0.8251 0.5790
Pd1 0.5000 0.2475 0.9150
Pd2 0.5000 0.9150 0.2475
Au1 0.0000 0.5800 0.5800

---

(4)
La2NdMg3Pt2Au: optimized geometry, PBE.

Cell: 4.1744 7.6766 7.6766 Å, 120.24 90.00 90.00°
Positions (direct):
La1 0.0000 0.2102 0.7898
La2 0.0000 0.7898 0.2102
Nd1 0.0000 0.6269 0.6269
Mg1 0.5000 0.2128 0.4533
Mg2 0.5000 0.4533 0.2128
Mg3 0.5000 0.9633 0.9633
Pt1 0.5000 0.5436 0.8781
Pt2 0.5000 0.8781 0.5436
Au1 0.0000 0.2117 0.2117

---

(5)
La2Mg4NiAu: optimized geometry, PBE.

Cell: 8.3152 5.6429 5.6429 Å, 45.70 90.00 90.00°
Positions (direct):
La1 0.0000 0.0000 0.0000
La2 0.5000 0.1176 0.1176
Mg1 0.2050 0.7133 0.7133
Mg2 0.3131 0.4080 0.4080
Mg3 0.6869 0.4080 0.4080
Mg4 0.7950 0.7133 0.7133
Ni1 0.5000 0.8352 0.8352
Au1 0.0000 0.2904 0.2904

---

(6)
LaPr2Mg3Ni2Au: optimized geometry, PBE.

Cell: 4.0750 7.6103 7.6103 Å, 119.30 90.00 90.00°
Positions (direct):
La1 0.0000 0.0000 0.0000
Pr1 0.0000 0.4245 0.8458
Pr2 0.0000 0.8458 0.4245
Mg1 0.5000 0.1797 0.4267
Mg2 0.5000 0.4267 0.1797
Mg3 0.5000 0.6668 0.6668
Ni1 0.5000 0.0910 0.7616
Ni2 0.5000 0.7616 0.0910
Au1 0.0000 0.4245 0.4245

---

Summary of uncorrected energy in eV/atom
-3.97; -4.12; -4.30; -4.69; -3.50; -4.12
(order as listed above)